VASP calculation (PBE-GGA) on YTh3Fe after structural relaxation.

Lattice parameters (Å, degrees): 5.323 5.323 5.323 90.00 90.00 90.00
Fractional positions:
Th (0.000, 0.500, 0.000)
Th (0.500, 0.000, 0.000)
Th (0.000, 0.000, 0.500)
Fe (0.000, 0.000, 0.000)
Y (0.500, 0.500, 0.500)

Summary:
Total magnetization = 0.00 μB/f.u.
VASP energy = -7.37 eV per atom
DFT formation energy = 0.064 eV per atom